First-principles (PBE) data for crystalline La3Pm2Nd6 at its relaxed geometry, as listed in Alexandria.

Properties
- calculated total energy (eV/atom) = -4.56
- energy relative to the lowest polymorph listed for this composition (meV per atom) = 233
- DFT formation energy (eV per formula unit) = 2.68

a = 4.905 Å, b = 4.905 Å, c = 17.407 Å
α = 98.10°, β = 98.10°, γ = 90.00°
Element x y z (fractional)
La: 0.794 0.794 0.589
Nd: 0.619 0.119 0.237
Nd: 0.881 0.381 0.763
Pm: 0.545 0.545 0.090
Nd: 0.693 0.693 0.385
La: 0.206 0.206 0.411
Nd: 0.119 0.619 0.237
Nd: 0.307 0.307 0.615
Nd: 0.381 0.881 0.763
La: 0.000 0.000 0.000
Pm: 0.455 0.455 0.910

First-principles (PBE) data for crystalline OF3 at its relaxed geometry, as listed in Alexandria.

Properties
- calculated total energy (eV/atom) = -1.99
- uncorrected formation energy (eV/atom) = 0.66
- energy relative to the lowest polymorph listed for this composition (meV per atom) = 456

a = 6.292 Å, b = 6.292 Å, c = 6.292 Å
α = 27.86°, β = 27.86°, γ = 27.86°
Element x y z (fractional)
F: 0.093 0.093 0.093
F: 0.000 0.000 0.000
O: 0.500 0.500 0.500
F: 0.907 0.907 0.907

First-principles (PBE) data for crystalline Sc2ReAu at its relaxed geometry, as listed in Alexandria.

Properties
- calculated total energy (eV/atom) = -7.17
- DFT formation energy (eV per formula unit) = -0.29

a = 3.635 Å, b = 3.635 Å, c = 5.776 Å
α = 90.00°, β = 90.00°, γ = 90.00°
Element x y z (fractional)
Sc: 0.500 0.500 0.278
Sc: 0.000 0.000 0.959
Re: 0.500 0.500 0.786
Au: 0.000 0.000 0.477

First-principles (PBE) data for crystalline In3PS at its relaxed geometry, as listed in Alexandria.

Properties
- calculated total energy (eV/atom) = -3.27
- uncorrected formation energy (eV/atom) = 0.28
- energy relative to the lowest polymorph listed for this composition (meV per atom) = 0

a = 5.262 Å, b = 5.262 Å, c = 5.262 Å
α = 90.00°, β = 90.00°, γ = 90.00°
Element x y z (fractional)
In: 0.000 0.000 0.500
S: 0.500 0.500 0.500
In: 0.000 0.500 0.000
P: 0.000 0.000 0.000
In: 0.500 0.000 0.000

First-principles (PBE) data for crystalline CuRuPt14 at its relaxed geometry, as listed in Alexandria.

Properties
- calculated total energy (eV/atom) = -6.15
- DFT formation energy (eV per formula unit) = -0.52

a = 5.605 Å, b = 5.605 Å, c = 7.837 Å
α = 90.00°, β = 90.00°, γ = 90.00°
Element x y z (fractional)
Pt: 0.625 0.625 0.256
Pt: 0.125 0.625 0.256
Pt: 0.625 0.125 0.256
Pt: 0.375 0.375 0.000
Ru: 0.875 0.875 0.500
Pt: 0.875 0.875 0.000
Pt: 0.625 0.125 0.744
Pt: 0.125 0.125 0.744
Pt: 0.375 0.875 0.000
Pt: 0.125 0.625 0.744
Pt: 0.625 0.625 0.744
Pt: 0.875 0.375 0.000
Pt: 0.875 0.375 0.500
Pt: 0.375 0.875 0.500
Pt: 0.125 0.125 0.256
Cu: 0.375 0.375 0.500

First-principles (PBE) data for crystalline Sc2TcSb at its relaxed geometry, as listed in Alexandria.

Properties
- calculated total energy (eV/atom) = -6.54
- uncorrected formation energy (eV/atom) = 0.24

a = 4.238 Å, b = 4.238 Å, c = 10.116 Å
α = 77.91°, β = 77.91°, γ = 90.00°
Element x y z (fractional)
Sc: 0.131 0.625 0.250
Tc: 0.500 0.500 0.000
Sc: 0.375 0.381 0.750
Sb: 0.750 0.250 0.500
Sb: 0.000 0.000 0.000
Sc: 0.619 0.125 0.250
Tc: 0.250 0.750 0.500
Sc: 0.875 0.869 0.750